Record 1
CsSbTe2Os: relaxed, GGA-PBEsol.

a b c (Å): 5.5500 5.5500 5.0081
angles (deg): 90.00 90.00 90.00
Last column: nearest neighbours and their distance in Å.
Atoms (fractional coordinates):
Cs  0.0000  0.0000  0.0000  8 Te 3.74, 4 Sb 3.92
Sb  0.5000  0.5000  0.0000  2 Os 2.50
Te  0.0000  0.5000  0.5000  2 Os 2.77
Te  0.5000  0.0000  0.5000  2 Os 2.77
Os  0.5000  0.5000  0.5000  2 Sb 2.50, 4 Te 2.77

Results
Space group: P4/mmm

Record 2
CsSb2TeOs: relaxed, GGA-PBEsol.

a b c (Å): 5.9872 5.9872 5.8692
angles (deg): 90.00 90.00 90.00
Last column: nearest neighbours and their distance in Å.
Atoms (fractional coordinates):
Cs  0.0000  0.0000  0.0000  2 Te 2.93, 4 Sb 2.99
Sb  0.0000  0.5000  0.0000  2 Cs 2.99
Sb  0.5000  0.0000  0.0000  2 Cs 2.99
Te  0.0000  0.0000  0.5000  2 Cs 2.93
Os  0.5000  0.5000  0.5000  8 Sb 4.19, 4 Te 4.23

Results
Space group: P4/mmm

Record 3
CsTa2Os: relaxed, GGA-PBEsol.

a b c (Å): 4.7208 4.7208 4.7208
angles (deg): 60.00 60.00 60.00
Last column: nearest neighbours and their distance in Å.
Atoms (fractional coordinates):
Cs  0.0000  0.0000  0.0000  8 Ta 2.89
Ta  0.2500  0.2500  0.2500  4 Os 2.89, 4 Cs 2.89
Ta  0.7500  0.7500  0.7500  4 Cs 2.89, 4 Os 2.89
Os  0.5000  0.5000  0.5000  8 Ta 2.89

Results
Space group: Fm-3m
Energy of formation from the pure elements (eV/atom): 1.442

Record 4
CsTa3Os: relaxed, GGA-PBEsol.

a b c (Å): 4.8503 4.8503 4.8503
angles (deg): 90.00 90.00 90.00
Last column: nearest neighbours and their distance in Å.
Atoms (fractional coordinates):
Cs  0.0000  0.0000  0.0000  6 Ta 2.43
Ta  0.0000  0.0000  0.5000  2 Cs 2.43
Ta  0.0000  0.5000  0.0000  2 Cs 2.43
Ta  0.5000  0.0000  0.0000  2 Cs 2.43
Os  0.5000  0.5000  0.5000  12 Ta 3.43

Results
Space group: Pm-3m
Energy of formation from the pure elements (eV/atom): 3.665

The evaluated uncorrected energy for the records listed, in turn: -4.703 -2.374 -8.123 -6.497 eV/atom.